The following is a DFT calculation (PBE) of a relaxed Mg2CrBr crystal.

Symmetry: P4mm
Volume in Å³/cell: 91
Formation energy from raw total energies in eV/atom: 0.139
D(E_F) in states/eV/cell: 1.56

```
data_Mg2CrBr
_cell_length_a 3.345
_cell_length_b 3.345
_cell_length_c 8.161
_cell_angle_alpha 90.00
_cell_angle_beta 90.00
_cell_angle_gamma 90.00
_space_group_name_H-M_alt 'P 1'
_space_group_IT_number 1
loop_
_space_group_symop_operation_xyz
'x,y,z'
loop_
_atom_site_label
_atom_site_type_symbol
_atom_site_fract_x
_atom_site_fract_y
_atom_site_fract_z
_atom_site_occupancy
Br1 Br 0.000 0.000 0.540 1
Cr1 Cr 0.500 0.500 0.747 1
Mg1 Mg 0.000 0.000 0.977 1
Mg2 Mg 0.500 0.500 0.236 1
```